(1)
The following is a DFT calculation (PBE) of a relaxed structure of ZrHgTe2.

Cell: 7.3486 7.3486 6.3934 Å, 54.92 54.92 90.00°
With the nearest neighbours (Å) after each atom.
Fractional coordinates of all 8 atoms:
Hg 0.2500 0.7500 0.5000  4 Te 2.99
Hg 0.7500 0.2500 0.5000  4 Te 2.99
Te 0.2746 0.2254 0.0000  2 Hg 2.99, 4 Zr 3.21
Te 0.7254 0.7746 0.0000  2 Hg 2.99, 4 Zr 3.21
Te 0.7746 0.2746 0.0000  2 Hg 2.99, 4 Zr 3.21
Te 0.2254 0.7254 0.0000  2 Hg 2.99, 4 Zr 3.21
Zr 0.7500 0.7500 0.5000  8 Te 3.21
Zr 0.2500 0.2500 0.5000  8 Te 3.21

Total DFT energy (no corrections) in eV/cell: -31.36
Space-group type: I4/mcm



(2)
The following is a DFT calculation (PBE) of a relaxed structure of ZrHg2Te.

Cell: 9.3690 9.3690 9.3690 Å, 22.90 22.90 22.90°
With the nearest neighbours (Å) after each atom.
Fractional coordinates of all 4 atoms:
Zr 0.7521 0.7521 0.7521  3 Te 2.85, 3 Hg 3.04
Hg 0.2539 0.2539 0.2539  3 Hg 3.19, 3 Te 3.47
Hg 0.0066 0.0066 0.0066  3 Zr 3.04, 3 Hg 3.19
Te 0.4875 0.4875 0.4875  3 Zr 2.85

Total DFT energy (no corrections) in eV/cell: -13.21
Space-group type: R3m



(3)
The following is a DFT calculation (PBE) of a relaxed structure of Zr2HgTe.

Cell: 6.1699 6.1699 6.1699 Å, 146.84 132.72 58.96°
With the nearest neighbours (Å) after each atom.
Fractional coordinates of all 4 atoms:
Te 0.2304 0.7304 0.5000  6 Zr 2.95-3.06
Hg 0.4927 0.4927 0.0000  4 Zr 3.04, 2 Te 3.32
Zr 0.7670 0.2670 0.5000  4 Te 3.06, 2 Zr 3.15
Zr 0.0099 0.0099 0.0000  2 Te 2.95, 4 Hg 3.04, 2 Zr 3.15

Energy above the lowest structure with this stoichiometry in eV/atom: 0.0769
Space-group type: Imm2